Pr2SmTm: relaxed, PBE.

a b c (Å): 5.150 5.152 6.291
angles (deg): 114.17 114.16 90.00
Atoms (fractional coordinates):
Pr1 0.000 0.000 0.000
Sm1 0.250 0.750 0.500
Tm1 0.500 0.500 0.000
Pr2 0.750 0.250 0.500

Output
- Excess energy over the best structure of this formula in the dataset: 4 meV per atom
- Space group: I-4m2 (119)
- Size of the total moment: 0.000 μB per formula unit
- Raw total energy: -0.17155 hartree per atom
- DOS(E_F): 1.48 states/eV/atom
- E_form: 0.019 eV per atom

***

Li2ClF: relaxed, PBE.

a b c (Å): 3.696 3.696 7.785
angles (deg): 90.00 90.00 90.00
Atoms (fractional coordinates):
Cl1 0.250 0.250 0.836
Li1 0.750 0.750 0.841
Li2 0.250 0.750 0.500
Li3 0.250 0.250 0.159
F1 0.750 0.750 0.581
F2 0.250 0.250 0.419
Li4 0.750 0.250 0.500
Cl2 0.750 0.750 0.164

Output
- Excess energy over the best structure of this formula in the dataset: 0 meV per atom
- Space group: P4/nmm (129)
- Size of the total moment: 0.000 μB per formula unit
- Raw total energy: -0.15597 hartree per atom
- DOS(E_F): 0.00 states/eV/atom
- ΔE_f (raw): -2.358 eV per atom

***

CaBeC2O6: relaxed, PBE.

a b c (Å): 4.641 4.641 5.836
angles (deg): 66.57 66.57 60.00
Atoms (fractional coordinates):
O1 0.515 0.707 0.713
Ca1 0.000 0.000 0.000
C1 0.235 0.235 0.294
O2 0.066 0.515 0.713
O3 0.485 0.293 0.287
C2 0.765 0.765 0.706
O4 0.934 0.485 0.287
Be1 0.500 0.500 0.500
O5 0.707 0.066 0.713
O6 0.293 0.934 0.287

Output
- Space group: R-3 (148)
- Size of the total moment: 0.000 μB per formula unit
- Raw total energy: -0.26965 hartree per atom
- DOS(E_F): 0.00 states/eV/atom
- ΔE_f (raw): -1.945 eV per atom

***

SrAcY: relaxed, PBE.

a b c (Å): 3.928 3.928 8.726
angles (deg): 103.01 103.01 90.00
Atoms (fractional coordinates):
Y1 0.325 0.325 0.651
Sr1 0.994 0.994 0.989
Ac1 0.680 0.680 0.360

Output
- Excess energy over the best structure of this formula in the dataset: 0 meV per atom
- Space group: I4mm (107)
- Size of the total moment: 0.000 μB per formula unit
- Raw total energy: -0.14648 hartree per atom
- DOS(E_F): 1.46 states/eV/atom
- E_form: 0.099 eV per atom

***

BPdS2: relaxed, PBE.

a b c (Å): 5.285 5.285 5.709
angles (deg): 62.43 62.43 90.00
Atoms (fractional coordinates):
S1 0.554 0.125 0.250
S2 0.196 0.625 0.250
S3 0.875 0.804 0.750
B1 0.250 0.750 0.500
Pd1 0.000 0.000 0.000
S4 0.375 0.446 0.750
Pd2 0.750 0.250 0.500
B2 0.500 0.500 0.000

Output
- Space group: I-42d (122)
- Size of the total moment: 0.000 μB per formula unit
- Raw total energy: -0.19120 hartree per atom
- DOS(E_F): 1.07 states/eV/atom
- ΔE_f (raw): -0.171 eV per atom

***

Li2PmZn2Ag2: relaxed, PBE.

a b c (Å): 4.576 4.590 7.982
angles (deg): 106.84 90.00 119.90
Atoms (fractional coordinates):
Ag1 0.256 0.512 0.768
Li1 0.859 0.719 0.579
Pm1 0.000 0.000 0.000
Li2 0.141 0.281 0.421
Ag2 0.744 0.488 0.232
Zn1 0.422 0.844 0.265
Zn2 0.578 0.156 0.735

Output
- Space group: C2/m (12)
- Size of the total moment: 0.000 μB per formula unit
- Raw total energy: -0.09620 hartree per atom
- DOS(E_F): 0.48 states/eV/atom
- E_form: -0.214 eV per atom

***

Sm2NbInO7: relaxed, PBE.

a b c (Å): 7.542 7.542 7.542
angles (deg): 121.10 119.02 89.90
Atoms (fractional coordinates):
Nb1 0.000 0.000 0.000
Sm1 0.500 0.500 0.500
Nb2 0.500 0.000 0.500
O1 0.622 0.372 0.250
O2 0.650 0.923 0.324
O3 0.100 0.326 0.176
O4 0.900 0.077 0.226
O5 0.689 0.939 0.750
Sm2 0.000 0.500 0.500
O6 0.102 0.352 0.750
O7 0.900 0.674 0.824
O8 0.898 0.648 0.250
Sm3 0.500 0.000 0.000
O9 0.378 0.628 0.750
O10 0.650 0.326 0.726
In1 0.000 0.000 0.500
O11 0.100 0.923 0.774
In2 0.000 0.500 0.000
O12 0.350 0.674 0.274
O13 0.350 0.077 0.676
O14 0.311 0.061 0.250
Sm4 0.500 0.500 0.000

Output
- Space group: Imma (74)
- Size of the total moment: 0.000 μB per formula unit
- Raw total energy: -0.29264 hartree per atom
- DOS(E_F): 0.00 states/eV/atom
- ΔE_f (raw): -2.786 eV per atom

***

SeBr2ClF: relaxed, PBE.

a b c (Å): 5.941 5.941 3.893
angles (deg): 90.00 90.00 90.00
Each line ends with the local moment (μB).
Atoms (fractional coordinates):
Cl1 0.500 0.500 0.500  0.66
Se1 0.000 0.000 0.500  0.62
Br1 0.000 0.500 0.000  0.60
F1 0.000 0.000 0.000  0.05
Br2 0.500 0.000 0.000  0.60

Output
- Excess energy over the best structure of this formula in the dataset: 0 meV per atom
- Space group: P4/mmm (123)
- Size of the total moment: 3.408 μB per formula unit
- Raw total energy: -0.06326 hartree per atom
- DOS(E_F): 1.08 states/eV/atom
- ΔE_f (raw): 0.388 eV per atom

***

NaEuTlAu: relaxed, PBE.

a b c (Å): 5.312 5.312 5.312
angles (deg): 60.00 60.00 60.00
Each line ends with the local moment (μB).
Atoms (fractional coordinates):
Au1 0.000 0.000 0.000  0.00
Tl1 0.500 0.500 0.500  0.04
Na1 0.250 0.250 0.250  0.00
Eu1 0.750 0.750 0.750  6.83

Output
- Space group: F-43m (216)
- Size of the total moment: 7.181 μB per formula unit
- Raw total energy: -0.17117 hartree per atom
- DOS(E_F): 2.43 states/eV/atom
- E_form: -0.349 eV per atom

***

Fe2HW: relaxed, PBE.

a b c (Å): 2.590 2.590 6.354
angles (deg): 90.00 90.00 90.00
Each line ends with the local moment (μB).
Atoms (fractional coordinates):
H1 0.500 0.500 0.000  -0.02
Fe1 0.000 0.000 0.820  2.02
W1 0.500 0.500 0.500  -0.24
Fe2 0.000 0.000 0.180  2.02

Output
- Excess energy over the best structure of this formula in the dataset: 226 meV per atom
- Space group: P4/mmm (123)
- Size of the total moment: 3.782 μB per formula unit
- Raw total energy: -0.29061 hartree per atom
- DOS(E_F): 0.99 states/eV/atom

***

Hf4Zr11In9: relaxed, PBE.

a b c (Å): 3.141 13.170 13.170
angles (deg): 92.51 89.99 90.01
Atoms (fractional coordinates):
Zr1 0.999 0.919 0.585
In1 0.500 0.865 0.380
Zr2 0.000 0.762 0.762
Hf1 0.498 0.719 0.560
Zr3 0.001 0.343 0.657
In2 0.500 0.206 0.032
Zr4 0.001 0.585 0.919
In3 0.500 0.135 0.620
Zr5 0.000 0.000 0.000
Hf2 0.502 0.560 0.719
Hf3 0.498 0.440 0.281
Zr6 0.999 0.657 0.343
Hf4 0.502 0.281 0.440
In4 0.500 0.794 0.968
In5 0.500 0.032 0.206
Zr7 0.000 0.830 0.170
In6 0.500 0.968 0.794
Zr8 0.999 0.415 0.081
Zr9 0.001 0.081 0.415
In7 0.500 0.500 0.500
In8 0.500 0.620 0.135
Zr10 0.000 0.238 0.238
Zr11 0.000 0.170 0.830
In9 0.500 0.380 0.865

Output
- Space group: C2/m (12)
- Size of the total moment: 0.000 μB per formula unit
- Raw total energy: -0.24916 hartree per atom
- DOS(E_F): 0.88 states/eV/atom
- E_form: -0.176 eV per atom

***

La2YPb: relaxed, PBE.

a b c (Å): 6.221 6.221 6.022
angles (deg): 78.78 78.78 34.32
Atoms (fractional coordinates):
Y1 0.236 0.236 0.277
La1 0.767 0.767 0.755
Pb1 0.502 0.502 0.482
La2 0.995 0.995 0.986

Output
- Space group: Cm (8)
- Size of the total moment: 0.000 μB per formula unit
- Raw total energy: -0.19363 hartree per atom
- DOS(E_F): 1.35 states/eV/atom
- E_form: -0.262 eV per atom

***

Nd7Dy2Sc: relaxed, PBE.

a b c (Å): 5.350 9.640 9.640
angles (deg): 125.38 90.00 90.00
Atoms (fractional coordinates):
Nd1 0.500 0.928 0.713
Dy1 0.500 0.295 0.705
Nd2 0.500 0.500 0.500
Nd3 0.500 0.713 0.928
Nd4 0.500 0.287 0.072
Nd5 0.000 0.199 0.802
Nd6 0.500 0.072 0.287
Sc1 0.000 0.000 0.000
Dy2 0.500 0.705 0.295
Nd7 0.000 0.801 0.198

Output
- Space group: Cmmm (65)
- Size of the total moment: 0.000 μB per formula unit
- Raw total energy: -0.15577 hartree per atom
- DOS(E_F): 1.48 states/eV/atom
- E_form: 0.652 eV per atom

***

LiTh3Pd12: relaxed, PBE.

a b c (Å): 4.201 4.201 16.156
angles (deg): 90.00 90.00 90.00
Atoms (fractional coordinates):
Li1 0.000 0.000 0.000
Pd1 0.500 0.500 0.500
Pd2 0.000 0.500 0.629
Pd3 0.500 0.000 0.371
Pd4 0.500 0.500 0.243
Pd5 0.500 0.500 0.757
Pd6 0.000 0.500 0.887
Pd7 0.000 0.500 0.371
Th1 0.000 0.000 0.233
Th2 0.000 0.000 0.767
Pd8 0.000 0.500 0.113
Th3 0.000 0.000 0.500
Pd9 0.500 0.000 0.887
Pd10 0.500 0.000 0.629
Pd11 0.500 0.500 0.000
Pd12 0.500 0.000 0.113

Output
- Space group: P4/mmm (123)
- Size of the total moment: 0.000 μB per formula unit
- Raw total energy: -0.22804 hartree per atom
- DOS(E_F): 0.36 states/eV/atom
- E_form: -0.800 eV per atom

***

YCdHg: relaxed, PBE.

a b c (Å): 3.473 4.965 8.544
angles (deg): 90.00 90.00 90.00
Atoms (fractional coordinates):
Y1 0.312 0.216 0.659
Hg1 0.812 0.716 0.806
Hg2 0.812 0.216 0.987
Cd1 0.811 0.716 0.472
Cd2 0.811 0.216 0.320
Y2 0.312 0.716 0.134

Output
- Space group: Pmma (51)
- Size of the total moment: 0.000 μB per formula unit
- Raw total energy: -0.10825 hartree per atom
- DOS(E_F): 0.65 states/eV/atom
- E_form: -0.385 eV per atom

***

Ta2NbSe4: relaxed, PBE.

a b c (Å): 3.375 6.386 7.574
angles (deg): 117.51 102.87 90.00
Atoms (fractional coordinates):
Ta1 0.255 0.188 0.510
Se1 0.102 0.758 0.205
Se2 0.360 0.691 0.720
Nb1 0.000 0.000 0.000
Se3 0.898 0.242 0.795
Se4 0.640 0.309 0.280
Ta2 0.745 0.812 0.490

Output
- Space group: C2/m (12)
- Size of the total moment: 0.000 μB per formula unit
- Raw total energy: -0.27669 hartree per atom
- DOS(E_F): 0.55 states/eV/atom
- ΔE_f (raw): -0.713 eV per atom

***

Pm2IrRh: relaxed, PBE.

a b c (Å): 4.243 5.786 7.945
angles (deg): 110.15 90.00 90.00
Atoms (fractional coordinates):
Pm1 0.250 0.786 0.576
Ir1 0.250 0.342 0.211
Ir2 0.750 0.658 0.789
Pm2 0.750 0.213 0.932
Rh1 0.250 0.331 0.708
Pm3 0.750 0.214 0.424
Rh2 0.750 0.669 0.292
Pm4 0.250 0.787 0.068

Output
- Excess energy over the best structure of this formula in the dataset: 0 meV per atom
- Space group: P2_1/m (11)
- Size of the total moment: 0.000 μB per formula unit
- Raw total energy: -0.26147 hartree per atom
- DOS(E_F): 0.37 states/eV/atom
- E_form: -0.686 eV per atom

***

BaNbPb: relaxed, PBE.

a b c (Å): 3.559 4.153 13.030
angles (deg): 90.00 95.54 90.00
Atoms (fractional coordinates):
Ba1 0.760 0.000 0.281
Pb1 0.324 0.500 0.459
Nb1 0.382 0.000 0.623
Pb2 0.187 0.500 0.081
Ba2 0.617 0.000 0.890
Nb2 0.898 0.500 0.651

Output
- Excess energy over the best structure of this formula in the dataset: 62 meV per atom
- Space group: Pm (6)
- Size of the total moment: 0.000 μB per formula unit
- Raw total energy: -0.18942 hartree per atom
- DOS(E_F): 0.75 states/eV/atom
- E_form: 0.079 eV per atom

***

ReTe2Se: relaxed, PBE.

a b c (Å): 5.059 5.059 3.276
angles (deg): 90.00 90.00 90.00
Each line ends with the local moment (μB).
Atoms (fractional coordinates):
Se1 0.000 0.500 0.500  0.06
Re1 0.500 0.000 0.500  1.03
Te1 0.500 0.500 0.000  -0.03
Te2 0.000 0.000 0.000  -0.03

Output
- Space group: P4/mmm (123)
- Size of the total moment: 1.201 μB per formula unit
- Raw total energy: -0.16903 hartree per atom
- DOS(E_F): 0.87 states/eV/atom
- ΔE_f (raw): 0.954 eV per atom

***

Tb2Nd3Sm6Mg: relaxed, PBE.

a b c (Å): 6.258 6.258 11.892
angles (deg): 95.05 95.05 120.06
Atoms (fractional coordinates):
Sm1 0.919 0.588 0.755
Sm2 0.251 0.251 0.754
Tb1 0.667 0.333 0.000
Nd1 0.500 0.500 0.500
Nd2 0.167 0.833 0.500
Sm3 0.081 0.412 0.245
Tb2 0.333 0.667 0.000
Nd3 0.833 0.167 0.500
Sm4 0.588 0.919 0.755
Sm5 0.412 0.081 0.245
Sm6 0.749 0.749 0.246
Mg1 0.000 0.000 0.000

Output
- Space group: C2/m (12)
- Size of the total moment: 0.000 μB per formula unit
- Raw total energy: -0.16277 hartree per atom
- DOS(E_F): 1.33 states/eV/atom
- E_form: 0.027 eV per atom

***

CsBa2SbSe4: relaxed, PBE.

a b c (Å): 9.322 9.322 9.219
angles (deg): 119.63 119.63 90.04
Atoms (fractional coordinates):
Se1 0.256 0.244 0.020
Cs1 0.000 0.500 0.000
Ba1 0.500 0.500 0.000
Se2 0.761 0.206 0.984
Cs2 0.000 0.500 0.500
Se3 0.239 0.794 0.016
Se4 0.294 0.739 0.516
Sb1 0.500 0.500 0.500
Ba2 0.500 0.000 0.500
Se5 0.706 0.261 0.484
Se6 0.256 0.244 0.480
Ba3 0.000 0.000 0.500
Se7 0.744 0.756 0.980
Sb2 0.000 0.000 0.000
Se8 0.744 0.756 0.520
Ba4 0.500 0.000 0.000

Output
- Space group: Imma (74)
- Size of the total moment: 0.000 μB per formula unit
- Raw total energy: -0.14785 hartree per atom
- ΔE_f (raw): -1.178 eV per atom

***

La2TcCl: relaxed, PBE.

a b c (Å): 5.082 5.082 5.082
angles (deg): 60.00 60.00 60.00
Atoms (fractional coordinates):
La1 0.000 0.000 0.000
La2 0.250 0.250 0.250
Cl1 0.500 0.500 0.500
Tc1 0.750 0.750 0.750

Output
- Excess energy over the best structure of this formula in the dataset: 989 meV per atom
- Space group: F-43m (216)
- Size of the total moment: 0.005 μB per formula unit
- Raw total energy: -0.19488 hartree per atom
- DOS(E_F): 0.75 states/eV/atom
- ΔE_f (raw): 0.214 eV per atom

***

CaMgTe2I: relaxed, PBE.

a b c (Å): 5.926 5.926 5.857
angles (deg): 90.00 90.00 90.00
Atoms (fractional coordinates):
Mg1 0.500 0.500 0.500
Ca1 0.000 0.000 0.000
Te1 0.500 0.000 0.000
I1 0.000 0.000 0.500
Te2 0.000 0.500 0.000

Output
- Excess energy over the best structure of this formula in the dataset: 389 meV per atom
- Space group: P4/mmm (123)
- Size of the total moment: 0.000 μB per formula unit
- Raw total energy: -0.09234 hartree per atom
- DOS(E_F): 1.20 states/eV/atom
- ΔE_f (raw): -0.227 eV per atom

***

Ti3NiSe: relaxed, PBE.

a b c (Å): 4.550 4.550 4.550
angles (deg): 90.00 90.00 90.00
Each line ends with the local moment (μB).
Atoms (fractional coordinates):
Se1 0.500 0.500 0.500  -0.01
Ti1 0.000 0.500 0.000  0.34
Ti2 0.000 0.000 0.500  0.30
Ni1 0.000 0.000 0.000  0.03
Ti3 0.500 0.000 0.000  0.43

Output
- Excess energy over the best structure of this formula in the dataset: 0 meV per atom
- Space group: Pm-3m (221)
- Size of the total moment: 1.381 μB per formula unit
- Raw total energy: -0.23728 hartree per atom
- DOS(E_F): 1.14 states/eV/atom
- ΔE_f (raw): 0.133 eV per atom